A plane-wave DFT calculation with PBE-GGA was carried out for a relaxed structure of Cd3Ga2Ag8.

Computed properties:
The calculation puts the calculated volume at 20.317 Å³/atom. The density is 8.422 g/cm3. The total energy comes out at -2.36 eV per atom. The excess energy over the best structure of this formula in the dataset is 0.029 eV per atom. The value obtained for the total magnetization is 0.0 μB/cell. For the energy of formation from the pure elements, the calculation gives 69 meV/atom. The density of states at the Fermi level is 0.3080 states/eV per atom.

Cell: 5.5303 5.5303 29.9152 Å, 90.00 90.00 120.00°
Space group R-3m (No. 166, hexagonal axes)
Inequivalent atoms, fractional coordinates:
1 Cd 0.0000 0.0000 0.0000 x3
2 Cd 0.0000 0.0000 0.1824 x6
3 Ga 0.0000 0.0000 0.3603 x6
4 Ag 0.0000 0.0000 0.2756 x6
5 Ag 0.0018 0.5009 0.7666 x18